This record from the Alexandria database describes crystalline HoTm2Hg3 at its relaxed geometry. The functional is GGA-PBE.

It has space group P4/mmm (No. 123), with a = 3.693 Å, b = 3.693 Å, c = 11.013 Å, α = 90.00°, β = 90.00° and γ = 90.00°. The inequivalent atoms are Ho at (0.000, 0.000, 0.000), Tm at (0.000, 0.000, 0.334), Hg at (0.500, 0.500, 0.169) and Hg at (0.500, 0.500, 0.500).

As for the calculated formation energy: -0.479 eV per atom. The crystal system is tetragonal. For the volume, the calculation gives 150.21 Å³ per cell. As for the total magnetization: 0.000 μB per atom. Its calculated density is 12.21 g/cm³. As for the density of states at the Fermi level: 0.7660 states/eV/atom.